(1)
DFT (PBE) results for crystalline CdIrRh2 at its relaxed geometry.

Output
Calculated formation energy ... 0.471 eV per formula unit

Geometry as CIF:
```
data_CdIrRh2
_chemical_formula_sum 'Cd1 Ir1 Rh2'
_cell_length_a 2.796
_cell_length_b 3.881
_cell_length_c 5.766
_cell_angle_alpha 90.00
_cell_angle_beta 90.00
_cell_angle_gamma 90.00
_space_group_name_H-M_alt 'P m m 2'
_space_group_IT_number 25
loop_
_space_group_symop_operation_xyz
'x,y,z'
'-x,-y,z'
'-x,y,z'
'x,-y,z'
loop_
_atom_site_label
_atom_site_type_symbol
_atom_site_fract_x
_atom_site_fract_y
_atom_site_fract_z
_atom_site_occupancy
Cd1 Cd 0.000 0.000 0.000 1
Ir1 Ir 0.500 0.500 0.283 1
Rh1 Rh 0.000 0.000 0.497 1
Rh2 Rh 0.500 0.500 0.740 1
```



(2)
DFT (PBE) results for crystalline Tb2ZrI at its relaxed geometry.

Output
ΔE_f (raw) ... 138 meV per atom

Geometry as CIF:
```
data_Tb2ZrI
_chemical_formula_sum 'Tb6 Zr3 I3'
_cell_length_a 3.5220
_cell_length_b 3.5220
_cell_length_c 33.6597
_cell_angle_alpha 90.00
_cell_angle_beta 90.00
_cell_angle_gamma 120.00
_space_group_name_H-M_alt 'R -3 m'
_space_group_IT_number 166
_space_group_name_Hall '-R 3 2"'
loop_
_atom_site_label
_atom_site_type_symbol
_atom_site_fract_x
_atom_site_fract_y
_atom_site_fract_z
_atom_site_occupancy
Tb1 Tb 0.0000 0.0000 0.0915 1
Zr1 Zr 0.0000 0.0000 0.0000 1
I1 I 0.0000 0.0000 0.5000 1
```



(3)
DFT (PBE) results for crystalline CuH2Br2 at its relaxed geometry.

Output
Raw total energy ... -30.21 eV per cell

Geometry as CIF:
```
data_CuH2Br2
_chemical_formula_sum 'Cu2 H4 Br4'
_cell_length_a 3.482
_cell_length_b 6.887
_cell_length_c 10.293
_cell_angle_alpha 98.98
_cell_angle_beta 98.25
_cell_angle_gamma 90.69
_space_group_name_H-M_alt 'P -1'
_space_group_IT_number 2
loop_
_space_group_symop_operation_xyz
'x,y,z'
'-x,-y,-z'
loop_
_atom_site_label
_atom_site_type_symbol
_atom_site_fract_x
_atom_site_fract_y
_atom_site_fract_z
_atom_site_occupancy
Cu1 Cu 0.173 0.326 0.322 1
H1 H 0.047 0.295 0.980 1
H2 H 0.104 0.776 0.007 1
Br1 Br 0.322 0.431 0.678 1
Br2 Br 0.336 0.918 0.686 1
```



(4)
DFT (PBE) results for crystalline Ta2Ni at its relaxed geometry.

Output
Calculated formation energy ... -0.054 eV per formula unit

Geometry as CIF:
```
data_Ta2Ni
_chemical_formula_sum 'Ta4 Ni2'
_cell_length_a 4.5472
_cell_length_b 4.5472
_cell_length_c 5.3140
_cell_angle_alpha 90.00
_cell_angle_beta 90.00
_cell_angle_gamma 120.00
_space_group_name_H-M_alt 'P 63/m m c'
_space_group_IT_number 194
_space_group_name_Hall '-P 6c 2c'
loop_
_atom_site_label
_atom_site_type_symbol
_atom_site_fract_x
_atom_site_fract_y
_atom_site_fract_z
_atom_site_occupancy
Ta1 Ta 0.0000 0.0000 0.0000 1
Ta2 Ta 0.3333 0.6667 0.2500 1
Ni1 Ni 0.3333 0.6667 0.7500 1
```